Here is a relaxed Pr2ErTm3Te2Os crystal from OQMD via LeMat-Bulk. Energies are from PBE.

Cell: 4.0987 8.3656 8.3656 Å, 120.23 90.00 90.00°
With the nearest neighbours (Å) after each atom.
Element x y z (fractional)
Os 0.0000 0.0277 0.0277  6 Tm 2.79-2.93, 1 Er 2.94
Tm 0.5000 0.2336 0.9922  2 Os 2.79
Te 0.5000 0.6557 0.3367  2 Er 3.24, 3 Tm 3.24-3.33, 4 Pr 3.31
Pr 0.0000 0.5958 0.0008  4 Te 3.31, 1 Os 3.51, 6 Tm 3.53-3.63
Te 0.5000 0.3367 0.6557  2 Er 3.24, 3 Tm 3.24-3.33, 4 Pr 3.31
Er 0.0000 0.3804 0.3804  1 Os 2.94, 4 Te 3.24
Tm 0.5000 0.9922 0.2336  2 Os 2.79
Pr 0.0000 0.0008 0.5958  4 Te 3.31, 1 Os 3.51, 6 Tm 3.53-3.63
Tm 0.5000 0.7770 0.7770  2 Os 2.93

Here is a relaxed Pr3Er2TmTe2Os crystal from OQMD via LeMat-Bulk. Energies are from PBE.

Cell: 4.1287 8.4439 8.4439 Å, 120.03 90.00 90.00°
With the nearest neighbours (Å) after each atom.
Element x y z (fractional)
Os 0.5000 0.0009 0.0009  2 Tm 2.83, 4 Er 2.84
Te 0.0000 0.6664 0.3334  6 Pr 3.31, 2 Er 3.33, 1 Tm 3.33
Te 0.0000 0.3334 0.6664  6 Pr 3.31, 2 Er 3.33, 1 Tm 3.33
Er 0.0000 0.7691 0.0000  2 Os 2.84
Tm 0.0000 0.2303 0.2303  2 Os 2.83
Pr 0.5000 0.6020 0.6020  4 Te 3.31, 1 Os 3.37, 4 Er 3.58
Er 0.0000 0.0000 0.7691  2 Os 2.84
Pr 0.5000 0.3976 0.0000  4 Te 3.31, 1 Os 3.35, 2 Er 3.58, 2 Tm 3.58
Pr 0.5000 0.0000 0.3976  4 Te 3.31, 1 Os 3.35, 2 Er 3.58, 2 Tm 3.58

Here is a relaxed RbErOs crystal from OQMD via LeMat-Bulk. Energies are from PBE.

Cell: 4.9198 4.9198 4.9198 Å, 60.00 60.00 60.00°
With the nearest neighbours (Å) after each atom.
Element x y z (fractional)
Os 0.0000 0.0000 0.0000  4 Er 3.01, 4 Rb 3.01
Rb 0.7500 0.7500 0.7500  4 Os 3.01
Er 0.2500 0.2500 0.2500  4 Os 3.01

Here is a relaxed Er2ReOs3 crystal from OQMD via LeMat-Bulk. Energies are from PBE.

Calculated values
**ΔE_f**: -0.34 eV per atom

Cell: 5.3972 5.3972 8.5130 Å, 90.00 90.00 120.00°
With the nearest neighbours (Å) after each atom.
Element x y z (fractional)
Os 0.1727 0.8273 0.2500  4 Os 2.60-2.80, 2 Re 2.67
Er 0.3333 0.6667 0.5651  9 Os 3.07-3.12, 4 Er 3.15-3.31, 3 Re 3.16
Os 0.3454 0.1727 0.7500  4 Os 2.60-2.80, 2 Re 2.67
Os 0.1727 0.3454 0.2500  4 Os 2.60-2.80, 2 Re 2.67
Er 0.3333 0.6667 0.9349  9 Os 3.07-3.12, 4 Er 3.15-3.31, 3 Re 3.16
Os 0.8273 0.1727 0.7500  4 Os 2.60-2.80, 2 Re 2.67
Er 0.6667 0.3333 0.4349  9 Os 3.07-3.12, 4 Er 3.15-3.31, 3 Re 3.16
Re 0.0000 0.0000 0.5000  6 Os 2.67
Os 0.6546 0.8273 0.2500  4 Os 2.60-2.80, 2 Re 2.67
Os 0.8273 0.6546 0.7500  4 Os 2.60-2.80, 2 Re 2.67
Er 0.6667 0.3333 0.0651  9 Os 3.07-3.12, 4 Er 3.15-3.31, 3 Re 3.16
Re 0.0000 0.0000 0.0000  6 Os 2.67

no.,total magnetic moment (μB per cell),final energy (eV per atom)
1,0.06,-5.763
2,0.06,-5.813
3,0.00,-4.436
4,0.00,-9.541